Entry 1:
The following is a PBE calculation of TbH4Pd6 after structural relaxation, from Alexandria via LeMat-Bulk.

crystal system	monoclinic

The structure in CIF format:
```
data_TbH4Pd6
_chemical_formula_sum 'Tb1 H4 Pd6'
_symmetry_space_group_name_H-M 'P 1'
_symmetry_Int_Tables_number 1
_cell_length_a 5.6549
_cell_length_b 5.6549
_cell_length_c 5.8865
_cell_angle_alpha 119.14
_cell_angle_beta 119.14
_cell_angle_gamma 89.05
loop_
_symmetry_equiv_pos_as_xyz
'x,y,z'
loop_
_atom_site_label
_atom_site_type_symbol
_atom_site_fract_x
_atom_site_fract_y
_atom_site_fract_z
Tb1 Tb 0.0000 0.0000 0.0000
H1 H 0.2734 0.7825 0.5734
H2 H 0.2828 0.2828 0.5638
H3 H 0.6782 0.6782 0.4234
H4 H 0.7825 0.2734 0.5734
Pd1 Pd 0.0036 0.5039 0.0069
Pd2 Pd 0.0210 0.0210 0.5107
Pd3 Pd 0.4900 0.4900 0.5103
Pd4 Pd 0.5039 0.0036 0.0069
Pd5 Pd 0.5092 0.9796 0.4886
Pd6 Pd 0.9796 0.5092 0.4886
```



Entry 2:
The following is a PBE calculation of Tb2HPd after structural relaxation, from Alexandria via LeMat-Bulk.

crystal system	monoclinic

The structure in CIF format:
```
data_Tb2HPd
_chemical_formula_sum 'Tb4 H2 Pd2'
_symmetry_space_group_name_H-M 'P 1'
_symmetry_Int_Tables_number 1
_cell_length_a 7.1205
_cell_length_b 7.1205
_cell_length_c 6.8221
_cell_angle_alpha 111.23
_cell_angle_beta 111.23
_cell_angle_gamma 30.45
loop_
_symmetry_equiv_pos_as_xyz
'x,y,z'
loop_
_atom_site_label
_atom_site_type_symbol
_atom_site_fract_x
_atom_site_fract_y
_atom_site_fract_z
Tb1 Tb 0.0189 0.0189 0.2693
Tb2 Tb 0.2929 0.2929 0.2707
Tb3 Tb 0.7071 0.7071 0.7293
Tb4 Tb 0.9811 0.9811 0.7307
H1 H 0.1143 0.1143 0.6117
H2 H 0.8857 0.8857 0.3883
Pd1 Pd 0.3822 0.3822 0.9266
Pd2 Pd 0.6178 0.6178 0.0734
```



Entry 3:
The following is a PBE calculation of TbH3Pd6 after structural relaxation, from Alexandria via LeMat-Bulk.

crystal system	triclinic

The structure in CIF format:
```
data_TbH3Pd6
_chemical_formula_sum 'Tb1 H3 Pd6'
_symmetry_space_group_name_H-M 'P 1'
_symmetry_Int_Tables_number 1
_cell_length_a 5.1199
_cell_length_b 5.7130
_cell_length_c 5.8246
_cell_angle_alpha 60.74
_cell_angle_beta 68.71
_cell_angle_gamma 89.91
loop_
_symmetry_equiv_pos_as_xyz
'x,y,z'
loop_
_atom_site_label
_atom_site_type_symbol
_atom_site_fract_x
_atom_site_fract_y
_atom_site_fract_z
Tb1 Tb 0.0000 0.0000 0.0000
H1 H 0.2402 0.8238 0.3542
H2 H 0.6041 0.5732 0.8528
H3 H 0.7354 0.2483 0.5043
Pd1 Pd 0.3904 0.6905 0.6182
Pd2 Pd 0.4143 0.1946 0.1273
Pd3 Pd 0.4141 0.6787 0.1267
Pd4 Pd 0.8862 0.9462 0.5918
Pd5 Pd 0.8868 0.4616 0.5927
Pd6 Pd 0.8970 0.4438 0.1131
```



Entry 4:
The following is a PBE calculation of TbH4Pd after structural relaxation, from Alexandria via LeMat-Bulk.

crystal system	monoclinic

The structure in CIF format:
```
data_TbH4Pd
_chemical_formula_sum 'Tb2 H8 Pd2'
_symmetry_space_group_name_H-M 'P 1'
_symmetry_Int_Tables_number 1
_cell_length_a 3.7314
_cell_length_b 6.6944
_cell_length_c 5.0769
_cell_angle_alpha 90.00
_cell_angle_beta 90.00
_cell_angle_gamma 90.00
loop_
_symmetry_equiv_pos_as_xyz
'x,y,z'
loop_
_atom_site_label
_atom_site_type_symbol
_atom_site_fract_x
_atom_site_fract_y
_atom_site_fract_z
Tb1 Tb 0.2495 0.2500 0.1196
Tb2 Tb 0.7505 0.7500 0.8804
H1 H 0.2493 0.2500 0.6399
H2 H 0.2499 0.5850 0.0685
H3 H 0.2499 0.9150 0.0685
H4 H 0.2506 0.7500 0.6775
H5 H 0.7494 0.2500 0.3225
H6 H 0.7501 0.0850 0.9315
H7 H 0.7501 0.4150 0.9315
H8 H 0.7507 0.7500 0.3601
Pd1 Pd 0.2509 0.7500 0.3469
Pd2 Pd 0.7491 0.2500 0.6531
```



no.,electronic total energy (eV/cell),N(E_F) (states/eV/f.u.)
1,-52.5,1.9
2,-41.1,1.8
3,-49.2,2.5
4,-51.1,1.1